Arrangement 1

GGA-PBE Tl3Bi4Au4, relaxed; calculated density = 11.4 Mg/m³
1.0
5.081 0.000 -0.734
-0.138 4.387 -0.955
-0.494 0.848 14.530
Tl Bi Au
3 4 4
Direct
0.635 0.135 0.269 Tl
0.365 0.865 0.731 Tl
0.000 0.000 0.000 Tl
0.740 0.740 0.480 Bi
0.908 0.408 0.816 Bi
0.092 0.592 0.184 Bi
0.260 0.260 0.520 Bi
0.190 0.690 0.381 Au
0.549 0.549 0.099 Au
0.451 0.451 0.901 Au
0.810 0.310 0.619 Au

Arrangement 2

GGA-PBE Tl3Bi4Au4, relaxed; calculated density = 12.1 Mg/m³
1.0
-3.604 2.846 0.543
-2.584 -1.938 -7.000
-1.448 -6.865 6.680
Tl Bi Au
3 4 4
Direct
0.096 0.096 0.193 Tl
0.904 0.904 0.807 Tl
0.000 0.500 0.000 Tl
0.332 0.112 0.665 Bi
0.668 0.448 0.335 Bi
0.668 0.888 0.335 Bi
0.332 0.552 0.665 Bi
0.204 0.704 0.408 Au
0.796 0.296 0.592 Au
0.500 0.791 0.000 Au
0.500 0.209 0.000 Au

Stability check: which of them is most stable? arrangement 2.

Arrangement 1

GGA-PBE Tl6Bi2Au, relaxed; calculated density = 10.9 Mg/m³
1.0
4.730 0.000 0.000
0.000 8.283 0.000
0.000 -4.141 7.170
Tl Bi Au
6 2 1
Direct
0.500 0.610 0.000 Tl
0.500 0.390 0.390 Tl
0.500 0.000 0.610 Tl
0.000 0.242 0.000 Tl
0.000 0.758 0.757 Tl
0.000 0.000 0.243 Tl
0.000 0.333 0.667 Bi
0.000 0.667 0.333 Bi
0.500 0.000 0.000 Au

Arrangement 2

GGA-PBE Tl6Bi2Au, relaxed; calculated density = 10.6 Mg/m³
1.0
-6.507 -3.392 0.425
1.830 -2.686 6.569
-4.490 8.542 4.743
Tl Bi Au
12 4 2
Direct
0.915 0.049 0.239 Tl
0.801 0.655 0.544 Tl
0.845 0.693 0.958 Tl
0.655 0.193 0.542 Tl
0.699 0.155 0.956 Tl
0.585 0.549 0.261 Tl
0.085 0.951 0.761 Tl
0.199 0.345 0.456 Tl
0.155 0.307 0.042 Tl
0.345 0.807 0.458 Tl
0.301 0.845 0.044 Tl
0.415 0.451 0.739 Tl
0.976 0.386 0.751 Bi
0.524 0.886 0.749 Bi
0.476 0.114 0.251 Bi
0.024 0.614 0.249 Bi
0.500 0.500 0.000 Au
0.000 0.000 0.500 Au

Stability check: which of them is most stable? arrangement 1.

Arrangement 1

GGA-PBE Tm4BiAu, relaxed; calculated density = 10.1 Mg/m³
1.0
5.511 0.000 0.000
0.000 6.351 0.000
-2.756 0.000 10.155
Tm Bi Au
8 2 2
Direct
0.883 0.322 0.765 Tm
0.117 0.822 0.235 Tm
0.446 0.822 0.892 Tm
0.554 0.322 0.108 Tm
0.703 0.571 0.406 Tm
0.297 0.071 0.594 Tm
0.703 0.074 0.406 Tm
0.297 0.574 0.594 Tm
0.849 0.822 0.699 Bi
0.151 0.322 0.301 Bi
0.582 0.822 0.164 Au
0.418 0.322 0.836 Au

Arrangement 2

GGA-PBE Tm4BiAu, relaxed; calculated density = 11.0 Mg/m³
1.0
-0.993 -0.289 3.916
1.513 -8.150 -0.219
18.544 3.310 4.946
Tm Bi Au
16 4 4
Direct
0.750 0.864 0.656 Tm
0.250 0.136 0.344 Tm
0.250 0.636 0.156 Tm
0.750 0.364 0.844 Tm
0.750 0.857 0.446 Tm
0.250 0.143 0.554 Tm
0.250 0.643 0.946 Tm
0.750 0.357 0.054 Tm
0.750 0.015 0.933 Tm
0.250 0.985 0.067 Tm
0.250 0.485 0.433 Tm
0.750 0.515 0.567 Tm
0.750 0.956 0.213 Tm
0.250 0.044 0.787 Tm
0.250 0.544 0.713 Tm
0.750 0.456 0.287 Tm
0.750 0.742 0.815 Bi
0.250 0.258 0.185 Bi
0.250 0.758 0.315 Bi
0.750 0.242 0.685 Bi
0.750 0.228 0.446 Au
0.250 0.772 0.554 Au
0.250 0.272 0.946 Au
0.750 0.728 0.054 Au

Stability check: which of them is most stable? arrangement 2.

Arrangement 1

GGA-PBE YBi2Au2, relaxed; calculated density = 11.7 Mg/m³
1.0
-0.451 5.487 -5.505
-7.667 -1.219 -0.586
-0.689 2.912 2.959
Y Au Bi
2 4 4
Direct
0.000 0.000 0.000 Y
0.500 0.500 0.000 Y
0.375 0.875 0.000 Au
0.875 0.625 0.000 Au
0.625 0.125 0.000 Au
0.125 0.375 0.000 Au
0.182 0.682 0.500 Bi
0.682 0.818 0.500 Bi
0.818 0.318 0.500 Bi
0.318 0.182 0.500 Bi

Arrangement 2

GGA-PBE YBi2Au2, relaxed; calculated density = 11.0 Mg/m³
1.0
-0.639 4.029 2.149
-2.317 1.584 -3.658
-6.961 0.596 1.760
Y Au Bi
1 2 2
Direct
0.000 0.000 0.000 Y
0.398 0.398 0.204 Au
0.602 0.602 0.796 Au
0.750 0.250 0.500 Bi
0.250 0.750 0.500 Bi

Arrangement 3

GGA-PBE YBi2Au2, relaxed; calculated density = 11.4 Mg/m³
1.0
4.090 0.000 0.000
0.000 4.090 0.000
2.045 2.045 7.820
Y Au Bi
1 2 2
Direct
0.000 0.000 0.000 Y
0.750 0.250 0.500 Au
0.250 0.750 0.500 Au
0.395 0.395 0.210 Bi
0.605 0.605 0.790 Bi

Stability check: which of them is most stable? arrangement 1.

Arrangement 1

GGA-PBE Y2Bi2Au, relaxed; calculated density = 9.3 Mg/m³
1.0
8.158 0.000 0.000
0.000 8.158 0.000
0.000 0.000 4.251
Y Au Bi
4 2 4
Direct
0.157 0.657 0.500 Y
0.657 0.843 0.500 Y
0.843 0.343 0.500 Y
0.343 0.157 0.500 Y
0.000 0.000 0.000 Au
0.500 0.500 0.000 Au
0.346 0.846 0.000 Bi
0.846 0.654 0.000 Bi
0.654 0.154 0.000 Bi
0.154 0.346 0.000 Bi

Arrangement 2

GGA-PBE Y2Bi2Au, relaxed; calculated density = 9.1 Mg/m³
1.0
8.063 0.000 0.000
0.000 8.063 0.000
0.000 0.000 4.455
Y Au Bi
4 2 4
Direct
0.339 0.839 0.000 Y
0.839 0.661 0.000 Y
0.661 0.161 0.000 Y
0.161 0.339 0.000 Y
0.000 0.000 0.000 Au
0.500 0.500 0.000 Au
0.149 0.649 0.500 Bi
0.649 0.851 0.500 Bi
0.851 0.351 0.500 Bi
0.351 0.149 0.500 Bi

Stability check: which of them is most stable? arrangement 2.

Arrangement 1

GGA-PBE YBiAu4, relaxed; calculated density = 13.7 Mg/m³
1.0
4.868 0.000 0.000
-2.434 4.216 0.000
0.000 0.000 6.419
Y Bi Au
1 1 4
Direct
0.000 0.000 0.000 Y
0.000 0.000 0.500 Bi
0.333 0.667 0.235 Au
0.333 0.667 0.765 Au
0.667 0.333 0.235 Au
0.667 0.333 0.765 Au

Arrangement 2

GGA-PBE YBiAu4, relaxed; calculated density = 13.8 Mg/m³
1.0
-2.762 -0.308 4.970
-4.990 -2.724 0.320
-0.359 -4.970 2.754
Y Au Bi
1 4 1
Direct
0.000 0.000 0.000 Y
0.625 0.625 0.124 Au
0.625 0.124 0.625 Au
0.625 0.625 0.625 Au
0.124 0.625 0.625 Au
0.250 0.250 0.250 Bi

Stability check: which of them is most stable? arrangement 1.

Arrangement 1

GGA-PBE YBi3Au, relaxed; calculated density = 8.9 Mg/m³
1.0
5.538 0.000 0.000
0.000 5.538 0.000
0.000 0.000 5.538
Y Au Bi
1 1 3
Direct
0.500 0.500 0.500 Y
0.000 0.000 0.000 Au
0.000 0.500 0.000 Bi
0.000 0.000 0.500 Bi
0.500 0.000 0.000 Bi

Arrangement 2

GGA-PBE YBi3Au, relaxed; calculated density = 7.6 Mg/m³
1.0
-5.095 2.688 -0.925
0.749 -0.563 -5.759
-2.742 -5.148 0.147
Y Au Bi
1 1 3
Direct
0.000 0.000 0.000 Y
0.500 0.500 0.500 Au
0.000 0.500 0.000 Bi
0.000 0.000 0.500 Bi
0.500 0.000 0.000 Bi

Stability check: which of them is most stable? arrangement 1.

Arrangement 1

GGA-PBE Zn2BiAu2, relaxed; calculated density = 12.1 Mg/m³
1.0
-0.185 -1.469 3.754
-2.518 -2.893 -1.256
3.466 -5.854 0.050
Zn Au Bi
2 2 1
Direct
0.398 0.398 0.204 Zn
0.602 0.602 0.796 Zn
0.750 0.250 0.500 Au
0.250 0.750 0.500 Au
0.000 0.000 0.000 Bi

Arrangement 2

GGA-PBE Zn2BiAu2, relaxed; calculated density = 12.1 Mg/m³
1.0
-1.297 -2.691 2.529
-1.342 -2.154 -2.980
4.458 -5.537 -0.576
Zn Au Bi
2 2 1
Direct
0.750 0.250 0.500 Zn
0.250 0.750 0.500 Zn
0.388 0.388 0.224 Au
0.612 0.612 0.776 Au
0.000 0.000 0.000 Bi

Arrangement 3

GGA-PBE Zn2BiAu2, relaxed; calculated density = 12.6 Mg/m³
1.0
7.959 0.000 0.000
0.000 7.959 0.000
0.000 0.000 3.064
Zn Au Bi
4 4 2
Direct
0.375 0.875 0.000 Zn
0.875 0.625 0.000 Zn
0.625 0.125 0.000 Zn
0.125 0.375 0.000 Zn
0.166 0.666 0.500 Au
0.666 0.834 0.500 Au
0.834 0.334 0.500 Au
0.334 0.166 0.500 Au
0.000 0.000 0.000 Bi
0.500 0.500 0.000 Bi

Arrangement 4

GGA-PBE Zn2BiAu2, relaxed; calculated density = 12.5 Mg/m³
1.0
7.921 0.000 0.000
0.000 7.921 0.000
0.000 0.000 3.109
Zn Au Bi
4 4 2
Direct
0.157 0.657 0.500 Zn
0.657 0.843 0.500 Zn
0.843 0.343 0.500 Zn
0.343 0.157 0.500 Zn
0.363 0.863 0.000 Au
0.863 0.637 0.000 Au
0.637 0.137 0.000 Au
0.137 0.363 0.000 Au
0.000 0.000 0.000 Bi
0.500 0.500 0.000 Bi

Stability check: which of them is most stable? arrangement 2.